DyHo2Lu | GGA-PBE | optimized geometry

As for the symmetry: Cmcm, No. 63. The calculation puts the total magnetization at 0.13 μB/f.u. Its formation enthalpy at 0 K is 1 meV per atom. The calculation puts the volume at 30.7 Å³/atom.

Cell lengths 7.138, 7.138, 5.565 Å; angles 90.00, 90.00, 120.00 degrees
Fractional coordinates of all 8 atoms:
Ho  0.834  0.668  0.750
Ho  0.668  0.834  0.250
Ho  0.166  0.332  0.250
Ho  0.332  0.166  0.750
Dy  0.667  0.333  0.250
Dy  0.333  0.667  0.750
Lu  0.166  0.834  0.250
Lu  0.834  0.166  0.750